{"formula": "ZnCr2PbF8", "functional": "PBE with a Hubbard U", "state": "relaxed", "lattice": [[4.8980, 0.0000, 0.0000], [0.0000, 7.1163, 0.0000], [-0.2146, 0.0000, 5.0378]], "species": ["Zn", "Cr", "Cr", "Pb", "F", "F", "F", "F", "F", "F", "F", "F"], "fractional_positions": [[0.0000, 0.0000, 0.0000], [0.5000, 0.2328, 0.5000], [0.5000, 0.7672, 0.5000], [0.0000, 0.5000, 0.0000], [0.2039, 0.2156, 0.2091], [0.2039, 0.7844, 0.2091], [0.2942, 0.0000, 0.7092], [0.3353, 0.5000, 0.6751], [0.6647, 0.5000, 0.3249], [0.7058, 0.0000, 0.2908], [0.7961, 0.2156, 0.7909], [0.7961, 0.7844, 0.7909]], "crystal_system": "monoclinic", "mass_density_g_cm3": 5.00, "dft_energy_ev_per_atom": -5.321}